(1)
## Ca2Zn (GGA-PBEsol)

Data for a relaxed Ca2Zn crystal.

Cell: 3.807 7.163 7.529 Å, 111.14 104.64 90.00°
Positions (direct):
Zn: 0.394 0.455 0.788
Zn: 0.606 0.545 0.212
Ca: 0.718 0.244 0.437
Ca: 0.027 0.772 0.053
Ca: 0.973 0.228 0.947
Ca: 0.282 0.756 0.563

Properties
final energy = -2.05 eV per atom

(2)
## Cu2ReCl (GGA-PBEsol)

Data for a relaxed Cu2ReCl crystal.

Cell: 2.792 2.792 7.422 Å, 90.00 90.00 90.00°
Positions (direct):
Cl: 0.500 0.500 0.703
Cu: 0.000 0.000 0.060
Cu: 0.500 0.500 0.254
Re: 0.000 0.000 0.483

Properties
E above lowest polymorph = 110 meV per atom

(3)
## ScIF2 (GGA-PBEsol)

Data for a relaxed ScIF2 crystal.

Cell: 3.353 3.353 9.929 Å, 80.28 80.28 60.00°
Site moments in Bohr magnetons follow the coordinates.
Positions (direct):
I: 0.500 0.500 0.500  0.00
Sc: 0.000 0.000 0.000  0.07
F: 0.936 0.936 0.191  0.00
F: 0.064 0.064 0.809  0.00

Properties
final energy = -4.77 eV per atom

(4)
## BaLaPb2 (GGA-PBEsol)

Data for a relaxed BaLaPb2 crystal.

Cell: 4.750 4.750 6.782 Å, 90.00 90.00 90.00°
Positions (direct):
Ba: 0.000 0.000 0.402
La: 0.500 0.500 0.857
Pb: 0.000 0.000 0.905
Pb: 0.500 0.500 0.336

Properties
final energy = -4.11 eV per atom

(5)
## Mg2Ag (GGA-PBEsol)

Data for a relaxed Mg2Ag crystal.

Cell: 8.715 8.715 8.715 Å, 60.00 60.00 60.00°
Positions (direct):
Ag: 0.840 0.481 0.840
Ag: 0.840 0.840 0.481
Ag: 0.840 0.840 0.840
Ag: 0.481 0.840 0.840
Ag: 0.410 0.769 0.410
Ag: 0.410 0.410 0.769
Ag: 0.410 0.410 0.410
Ag: 0.769 0.410 0.410
Mg: 0.125 0.625 0.625
Mg: 0.625 0.625 0.625
Mg: 0.625 0.625 0.125
Mg: 0.625 0.125 0.625
Mg: 0.058 0.442 0.442
Mg: 0.058 0.442 0.058
Mg: 0.442 0.442 0.058
Mg: 0.058 0.058 0.442
Mg: 0.442 0.058 0.442
Mg: 0.442 0.058 0.058
Mg: 0.192 0.808 0.808
Mg: 0.192 0.808 0.192
Mg: 0.808 0.808 0.192
Mg: 0.192 0.192 0.808
Mg: 0.808 0.192 0.808
Mg: 0.808 0.192 0.192

Properties
final energy = -2.43 eV per atom

(6)
## KCl (GGA-PBEsol)

Data for a relaxed KCl crystal.

Cell: 5.315 5.315 5.315 Å, 60.00 60.00 60.00°
Positions (direct):
K: 0.000 0.000 0.000
K: 0.250 0.250 0.250
Cl: 0.500 0.500 0.500
Cl: 0.750 0.750 0.750

Properties
final energy = -3.05 eV per atom